Below is a relaxed structure of AcCdSb, with properties calculated at the PBE-GGA level.

Properties
Offset from the most stable computed form ... 112 meV/atom
Space group ... P3_2
Mass density ... 7.565 g/cm3
Formation energy from raw total energies ... -518 meV per atom

abc: 5.9999 5.9999 9.7413
angles: 90.00 90.00 120.00
Sites, in units of the cell vectors:
1 Sb 0.0003 0.6659 0.6555
2 Sb 0.6656 0.9997 0.9888
3 Sb 0.3341 0.3344 0.3221
4 Ac 0.6674 0.0012 0.3262
5 Ac 0.9988 0.6662 0.9928
6 Ac 0.3338 0.3326 0.6595
7 Cd 0.0008 0.6678 0.3517
8 Cd 0.6671 0.9992 0.6850
9 Cd 0.3322 0.3329 0.0184

Below is a relaxed structure of AcCdSb2, with properties calculated at the PBE-GGA level.

Properties
Offset from the most stable computed form ... 175 meV/atom
Space group ... P4/mmm
Mass density ... 7.974 g/cm3
Formation energy from raw total energies ... -432 meV per atom

abc: 4.2346 4.2346 6.7699
angles: 90.00 90.00 90.00
Sites, in units of the cell vectors:
1 Sb 0.0000 0.0000 0.7702
2 Sb 0.0000 0.0000 0.2298
3 Ac 0.5000 0.5000 0.5000
4 Cd 0.5000 0.5000 0.0000

Below is a relaxed structure of AcCdSb2, with properties calculated at the PBE-GGA level.

Properties
Offset from the most stable computed form ... 0 meV/atom
Space group ... P4/nmm
Mass density ... 7.987 g/cm3
Formation energy from raw total energies ... -608 meV per atom

abc: 4.5948 4.5948 11.4809
angles: 90.00 90.00 90.00
Sites, in units of the cell vectors:
1 Ac 0.0000 0.5000 0.2764
2 Ac 0.5000 0.0000 0.7236
3 Cd 0.5000 0.5000 0.0000
4 Cd 0.0000 0.0000 0.0000
5 Sb 0.5000 0.0000 0.1808
6 Sb 0.0000 0.5000 0.8192
7 Sb 0.0000 0.0000 0.5000
8 Sb 0.5000 0.5000 0.5000

Below is a relaxed structure of AcCdSb, with properties calculated at the PBE-GGA level.

Properties
Offset from the most stable computed form ... 144 meV/atom
Space group ... I4mm
Mass density ... 7.806 g/cm3
Formation energy from raw total energies ... -486 meV per atom

abc: 4.4574 4.4574 5.8580
angles: 112.36 112.36 90.00
Sites, in units of the cell vectors:
1 Sb 0.3416 0.3416 0.6833
2 Ac 0.9942 0.9942 0.9885
3 Cd 0.6641 0.6641 0.3283

Below is a relaxed structure of AcCdSb2, with properties calculated at the PBE-GGA level.

Properties
Offset from the most stable computed form ... 51 meV/atom
Space group ... P4/mmm
Mass density ... 8.181 g/cm3
Formation energy from raw total energies ... -557 meV per atom

abc: 4.5153 5.1190 5.1190
angles: 90.00 90.00 90.00
Sites, in units of the cell vectors:
1 Sb 0.0000 0.0000 0.5000
2 Sb 0.0000 0.5000 0.0000
3 Ac 0.5000 0.5000 0.5000
4 Cd 0.5000 0.0000 0.0000

Below is a relaxed structure of AcCd3Sb3, with properties calculated at the PBE-GGA level.

Properties
Offset from the most stable computed form ... 448 meV/atom
Space group ... Pm-3n
Mass density ... 6.228 g/cm3
Formation energy from raw total energies ... 54 meV per atom

abc: 7.9141 7.9141 7.9141
angles: 90.00 90.00 90.00
Sites, in units of the cell vectors:
1 Sb 0.2500 0.0000 0.5000
2 Sb 0.0000 0.5000 0.2500
3 Sb 0.5000 0.7500 0.0000
4 Sb 0.7500 0.0000 0.5000
5 Sb 0.0000 0.5000 0.7500
6 Sb 0.5000 0.2500 0.0000
7 Ac 0.5000 0.5000 0.5000
8 Ac 0.0000 0.0000 0.0000
9 Cd 0.0000 0.2500 0.5000
10 Cd 0.0000 0.7500 0.5000
11 Cd 0.5000 0.0000 0.7500
12 Cd 0.7500 0.5000 0.0000
13 Cd 0.5000 0.0000 0.2500
14 Cd 0.2500 0.5000 0.0000

Below is a relaxed structure of AcCd4Sb, with properties calculated at the PBE-GGA level.

Properties
Space group ... F-43m
Mass density ... 8.149 g/cm3
Formation energy from raw total energies ... -161 meV per atom

abc: 6.1277 6.1277 6.1277
angles: 60.00 60.00 60.00
Sites, in units of the cell vectors:
1 Sb 0.0000 0.0000 0.0000
2 Ac 0.2500 0.2500 0.2500
3 Cd 0.6256 0.6256 0.1231
4 Cd 0.6256 0.1231 0.6256
5 Cd 0.6256 0.6256 0.6256
6 Cd 0.1231 0.6256 0.6256

Below is a relaxed structure of AcCd3Sb3, with properties calculated at the PBE-GGA level.

Properties
Offset from the most stable computed form ... 0 meV/atom
Space group ... R-3
Mass density ... 6.739 g/cm3
Formation energy from raw total energies ... -394 meV per atom

abc: 8.2625 8.2625 9.0987
angles: 63.00 63.00 60.00
Sites, in units of the cell vectors:
1 Ac 0.3335 0.3335 0.9994
2 Ac 0.6665 0.6665 0.0006
3 Cd 0.4679 0.7767 0.6330
4 Cd 0.7767 0.1223 0.6330
5 Cd 0.1223 0.4679 0.6330
6 Cd 0.8777 0.5321 0.3670
7 Cd 0.2233 0.8777 0.3670
8 Cd 0.5321 0.2233 0.3670
9 Sb 0.2417 0.5964 0.2422
10 Sb 0.9196 0.2417 0.2422
11 Sb 0.5964 0.9196 0.2422
12 Sb 0.4036 0.0804 0.7578
13 Sb 0.0804 0.7583 0.7578
14 Sb 0.7583 0.4036 0.7578

Below is a relaxed structure of AcCdSb2, with properties calculated at the PBE-GGA level.

Properties
Offset from the most stable computed form ... 255 meV/atom
Space group ... Fm-3m
Mass density ... 7.979 g/cm3
Formation energy from raw total energies ... -352 meV per atom

abc: 5.5566 5.5566 5.5566
angles: 60.00 60.00 60.00
Sites, in units of the cell vectors:
1 Sb 0.2500 0.2500 0.2500
2 Sb 0.7500 0.7500 0.7500
3 Ac 0.0000 0.0000 0.0000
4 Cd 0.5000 0.5000 0.5000

Below is a relaxed structure of AcCdSb4, with properties calculated at the PBE-GGA level.

Properties
Space group ... F-43m
Mass density ... 7.500 g/cm3
Formation energy from raw total energies ... -200 meV per atom

abc: 6.3724 6.3724 6.3724
angles: 60.00 60.00 60.00
Sites, in units of the cell vectors:
1 Sb 0.6218 0.6218 0.1345
2 Sb 0.6218 0.1345 0.6218
3 Sb 0.6218 0.6218 0.6218
4 Sb 0.1345 0.6218 0.6218
5 Ac 0.0000 0.0000 0.0000
6 Cd 0.2500 0.2500 0.2500

Below is a relaxed structure of AcCd5Sb4, with properties calculated at the PBE-GGA level.

Properties
Space group ... Immm
Mass density ... 6.562 g/cm3
Formation energy from raw total energies ... -180 meV per atom

abc: 4.6568 8.6055 9.4266
angles: 117.16 104.30 90.00
Sites, in units of the cell vectors:
1 Ac 0.5000 0.0000 0.0000
2 Cd 0.8234 0.0351 0.6469
3 Cd 0.8234 0.6117 0.6469
4 Cd 0.1766 0.3883 0.3531
5 Cd 0.1766 0.9649 0.3531
6 Cd 0.5000 0.5000 0.0000
7 Sb 0.0000 0.7188 0.0000
8 Sb 0.2803 0.7803 0.5605
9 Sb 0.7197 0.2197 0.4395
10 Sb 0.0000 0.2812 0.0000

Below is a relaxed structure of AcCd2Sb2, with properties calculated at the PBE-GGA level.

Properties
Space group ... Cmcm
Mass density ... 8.018 g/cm3
Formation energy from raw total energies ... -497 meV per atom

abc: 4.5124 4.5494 14.2107
angles: 90.00 99.14 90.00
Sites, in units of the cell vectors:
1 Ac 0.3436 0.2500 0.6873
2 Ac 0.6564 0.7500 0.3127
3 Cd 0.0404 0.7500 0.0808
4 Cd 0.4639 0.7500 0.9277
5 Cd 0.9596 0.2500 0.9192
6 Cd 0.5361 0.2500 0.0723
7 Sb 0.7500 0.2500 0.4999
8 Sb 0.2500 0.7500 0.5001
9 Sb 0.8836 0.7500 0.7673
10 Sb 0.1164 0.2500 0.2327